{
  "formula": "HoSc3Rh2",
  "functional": "GGA-PBE",
  "state": "relaxed",
  "lattice": [[-3.757, -2.156, 0.347], [1.671, -3.797, -5.491], [3.694, -5.629, 5.017]],
  "species": ["Sc", "Sc", "Sc", "Sc", "Sc", "Sc", "Ho", "Ho", "Rh", "Rh", "Rh", "Rh"],
  "frac_coords": [[0.500, 0.644, 0.167], [0.000, 0.984, 0.080], [0.000, 0.484, 0.920], [0.000, 0.359, 0.314], [0.500, 0.144, 0.833], [0.000, 0.859, 0.686], [0.500, 0.516, 0.577], [0.500, 0.016, 0.423], [0.500, 0.248, 0.149], [0.000, 0.249, 0.656], [0.500, 0.748, 0.851], [0.000, 0.749, 0.344]],
  "magmom_total_mub_per_atom": 0.000,
  "dos_ef_per_ev_fu": 7.65,
  "final_energy_ev_per_atom": -7.08,
  "sg": "Pmc2_1, No. 26"
}

---

{
  "formula": "HoSc4Rh",
  "functional": "GGA-PBE",
  "state": "relaxed",
  "lattice": [[5.215, 0.000, 0.000], [0.000, 6.944, 0.000], [-2.608, 0.000, 8.543]],
  "species": ["Rh", "Rh", "Sc", "Sc", "Sc", "Sc", "Sc", "Sc", "Sc", "Sc", "Ho", "Ho"],
  "frac_coords": [[0.603, 0.780, 0.207], [0.397, 0.280, 0.793], [0.500, 0.529, 0.000], [0.500, 0.029, 0.000], [0.121, 0.781, 0.242], [0.879, 0.281, 0.758], [0.706, 0.523, 0.412], [0.706, 0.039, 0.412], [0.294, 0.539, 0.588], [0.294, 0.023, 0.588], [0.888, 0.781, 0.776], [0.112, 0.281, 0.224]],
  "magmom_total_mub_per_atom": 0.000,
  "dos_ef_per_ev_fu": 7.72,
  "final_energy_ev_per_atom": -6.39,
  "sg": "Cmc2_1, No. 36"
}

---

{
  "formula": "Ho2ScRh4",
  "functional": "GGA-PBE",
  "state": "relaxed",
  "lattice": [[4.390, 0.000, 1.372], [1.981, 3.918, 1.372], [-0.068, -0.042, 7.930]],
  "species": ["Rh", "Rh", "Rh", "Rh", "Ho", "Ho", "Sc"],
  "frac_coords": [[0.881, 0.881, 0.358], [0.372, 0.372, 0.883], [0.628, 0.628, 0.117], [0.119, 0.119, 0.642], [0.759, 0.759, 0.724], [0.241, 0.241, 0.276], [0.000, 0.000, 0.000]],
  "magmom_total_mub_per_atom": 0.000,
  "dos_ef_per_ev_fu": 3.57,
  "final_energy_ev_per_atom": -7.03,
  "sg": "R-3m, No. 166"
}

---

{
  "formula": "Ho6Sc2Rh",
  "functional": "GGA-PBE",
  "state": "relaxed",
  "lattice": [[4.953, 0.000, 0.488], [0.000, 6.890, 0.000], [-0.730, -3.445, 7.407]],
  "species": ["Ho", "Ho", "Ho", "Ho", "Ho", "Ho", "Sc", "Sc", "Rh"],
  "frac_coords": [[0.000, 0.891, 0.288], [0.000, 0.397, 0.288], [0.500, 0.245, 0.000], [0.500, 0.755, 0.000], [0.000, 0.603, 0.712], [0.000, 0.109, 0.712], [0.500, 0.251, 0.503], [0.500, 0.749, 0.497], [0.000, 0.000, 0.000]],
  "magmom_total_mub_per_atom": 0.000,
  "dos_ef_per_ev_fu": 12.01,
  "final_energy_ev_per_atom": -5.35,
  "sg": "Cmmm, No. 65"
}

---

{
  "formula": "Ho2ScRh3",
  "functional": "GGA-PBE",
  "state": "relaxed",
  "lattice": [[3.348, 0.000, 0.000], [0.000, 3.348, 0.000], [0.000, 0.000, 10.069]],
  "species": ["Rh", "Rh", "Rh", "Sc", "Ho", "Ho"],
  "frac_coords": [[0.000, 0.000, 0.345], [0.000, 0.000, 0.000], [0.000, 0.000, 0.655], [0.500, 0.500, 0.500], [0.500, 0.500, 0.172], [0.500, 0.500, 0.828]],
  "magmom_total_mub_per_atom": 0.000,
  "dos_ef_per_ev_fu": 3.13,
  "final_energy_ev_per_atom": -7.18,
  "sg": "P4/mmm, No. 123"
}

---

{
  "formula": "HoSc2Rh",
  "functional": "GGA-PBE",
  "state": "relaxed",
  "lattice": [[-0.810, -3.229, 0.682], [2.152, -2.500, -0.817], [4.512, -1.156, 8.350]],
  "species": ["Sc", "Sc", "Rh", "Ho"],
  "frac_coords": [[0.270, 0.270, 0.190], [0.730, 0.730, 0.810], [0.000, 0.000, 0.000], [0.500, 0.500, 0.500]],
  "magmom_total_mub_per_atom": 0.000,
  "dos_ef_per_ev_fu": 4.43,
  "final_energy_ev_per_atom": -6.43,
  "sg": "R-3m, No. 166"
}